An optimized crystal structure of SrMo2O8. Source: Alexandria, functional PBE+U.

POSCAR file:
```
SrMo2O8
1.0
-2.3998 2.3998 6.1939
2.3998 -2.3998 6.1939
2.3998 2.3998 -6.1939
Sr Mo O
1 2 8
Cartesian
0.0000 0.0000 0.0000 Sr
2.3998 0.0000 3.0970 Mo
0.0000 2.3998 3.0970 Mo
1.2000 1.2000 -1.9215 O
1.1998 -1.1998 4.2724 O
1.2000 1.2000 1.9215 O
1.1998 -1.1998 8.1155 O
-1.1998 1.1998 4.2724 O
1.1998 1.1998 4.2724 O
-1.1998 1.1998 8.1155 O
1.1998 1.1998 8.1155 O
```

Computed properties:
D(E_F) = 0.416 states/eV/atom
Density = 4.74 g/cm³
Electronic total energy = -6.235 eV per atom